# WC2 GGA-PBE relaxed
# - energy of formation (eV/atom) = 0.943
# - distance to the lowest polymorph of the same formula (meV/atom) = 427
# - crystal system = orthorhombic
# - volume (Å³ per cell) = 109.44
data_WC2
_symmetry_space_group_name_H-M 'P n m a'
_symmetry_Int_Tables_number 62
_cell_length_a 5.204
_cell_length_b 2.627
_cell_length_c 8.004
_cell_angle_alpha 90.00
_cell_angle_beta 90.00
_cell_angle_gamma 90.00
loop_
_symmetry_equiv_pos_as_xyz
'x,y,z'
'-x,-y,-z'
'-x+1/2,-y,z+1/2'
'x+1/2,y,-z+1/2'
'x+1/2,-y+1/2,-z+1/2'
'-x+1/2,y+1/2,z+1/2'
'-x,y+1/2,-z'
'x,-y+1/2,z'
loop_
_atom_site_label
_atom_site_type_symbol
_atom_site_fract_x
_atom_site_fract_y
_atom_site_fract_z
W1 W 0.186 0.250 0.102
C1 C 0.113 0.750 0.347
C2 C 0.232 0.750 0.872



# NaPr4Tm3Te8 GGA-PBE relaxed
# - uncorrected formation energy (eV per atom) = -1.328
# - crystal system = trigonal
# - volume (Å³ per cell) = 1482.61
data_NaPr4Tm3Te8
_symmetry_space_group_name_H-M 'R -3 m'
_symmetry_Int_Tables_number 166
_symmetry_space_group_name_Hall '-R 3 2"'
_cell_length_a 8.7814
_cell_length_b 8.7814
_cell_length_c 22.2014
_cell_angle_alpha 90.00
_cell_angle_beta 90.00
_cell_angle_gamma 120.00
loop_
_atom_site_label
_atom_site_type_symbol
_atom_site_fract_x
_atom_site_fract_y
_atom_site_fract_z
Na1 Na 0.0000 0.0000 0.0000
Pr1 Pr 0.0000 0.0000 0.5000
Pr2 Pr 0.0000 0.5000 0.5000
Tm1 Tm 0.0000 0.5000 0.0000
Te1 Te 0.0000 0.0000 0.2564
Te2 Te 0.0022 0.5011 0.2559



# AgSb2Ir2 GGA-PBE relaxed
# - distance to the lowest polymorph of the same formula (meV/atom) = 160
# - uncorrected formation energy (eV per atom) = 0.287
# - crystal system = tetragonal
# - volume (Å³ per cell) = 215.07
data_AgSb2Ir2
_symmetry_space_group_name_H-M 'I 4/m m m'
_symmetry_Int_Tables_number 139
_symmetry_space_group_name_Hall '-I 4 2'
_cell_length_a 4.409
_cell_length_b 4.409
_cell_length_c 11.065
_cell_angle_alpha 90.00
_cell_angle_beta 90.00
_cell_angle_gamma 90.00
loop_
_atom_site_label
_atom_site_type_symbol
_atom_site_fract_x
_atom_site_fract_y
_atom_site_fract_z
Ag1 Ag 0.000 0.000 0.000
Sb1 Sb 0.000 0.500 0.250
Ir1 Ir 0.000 0.000 0.383



# AlZnCu14 GGA-PBE relaxed
# - energy of formation (eV/atom) = -0.038
# - crystal system = orthorhombic
# - volume (Å³ per cell) = 391.17
data_AlZnCu14
_symmetry_space_group_name_H-M 'A m m 2'
_symmetry_Int_Tables_number 38
_cell_length_a 8.434
_cell_length_b 5.248
_cell_length_c 8.837
_cell_angle_alpha 90.00
_cell_angle_beta 90.00
_cell_angle_gamma 90.00
loop_
_symmetry_equiv_pos_as_xyz
'x,y,z'
'-x,-y,z'
'-x,y,z'
'x,-y,z'
'x,y+1/2,z+1/2'
'-x,-y+1/2,z+1/2'
'-x,y+1/2,z+1/2'
'x,-y+1/2,z+1/2'
loop_
_atom_site_label
_atom_site_type_symbol
_atom_site_fract_x
_atom_site_fract_y
_atom_site_fract_z
Al1 Al 0.000 0.000 0.000
Zn1 Zn 0.000 0.000 0.501
Cu1 Cu 0.000 0.250 0.250
Cu2 Cu 0.252 0.000 0.826
Cu3 Cu 0.253 0.000 0.326
Cu4 Cu 0.253 0.249 0.076
Cu5 Cu 0.500 0.000 0.155
Cu6 Cu 0.500 0.000 0.655
Cu7 Cu 0.500 0.250 0.406



# LiSiTe2 GGA-PBE relaxed
# - distance to the lowest polymorph of the same formula (meV/atom) = 230
# - uncorrected formation energy (eV per atom) = -0.068
# - crystal system = monoclinic
# - volume (Å³ per cell) = 112.13
data_LiSiTe2
_symmetry_space_group_name_H-M 'P 1 2/m 1'
_symmetry_Int_Tables_number 10
_cell_length_a 4.332
_cell_length_b 3.657
_cell_length_c 7.162
_cell_angle_alpha 90.00
_cell_angle_beta 98.82
_cell_angle_gamma 90.00
loop_
_symmetry_equiv_pos_as_xyz
'x,y,z'
'-x,-y,-z'
'-x,y,-z'
'x,-y,z'
loop_
_atom_site_label
_atom_site_type_symbol
_atom_site_fract_x
_atom_site_fract_y
_atom_site_fract_z
Li1 Li 0.000 0.000 0.000
Si1 Si 0.000 0.000 0.500
Te1 Te 0.267 0.500 0.745



# LaTb6Sm3Th2 GGA-PBE relaxed
# - energy of formation (eV/atom) = 0.024
# - crystal system = monoclinic
# - volume (Å³ per cell) = 786.03
data_LaTb6Sm3Th2
_symmetry_space_group_name_H-M 'C 1 2/m 1'
_symmetry_Int_Tables_number 12
_cell_length_a 6.250
_cell_length_b 10.821
_cell_length_c 11.808
_cell_angle_alpha 90.00
_cell_angle_beta 100.18
_cell_angle_gamma 90.00
loop_
_symmetry_equiv_pos_as_xyz
'x,y,z'
'-x,-y,-z'
'-x,y,-z'
'x,-y,z'
'x+1/2,y+1/2,z'
'-x+1/2,-y+1/2,-z'
'-x+1/2,y+1/2,-z'
'x+1/2,-y+1/2,z'
loop_
_atom_site_label
_atom_site_type_symbol
_atom_site_fract_x
_atom_site_fract_y
_atom_site_fract_z
La1 La 0.000 0.000 0.000
Tb1 Tb 0.244 0.500 0.247
Tb2 Tb 0.248 0.331 0.753
Sm1 Sm 0.000 0.166 0.500
Sm2 Sm 0.000 0.500 0.500
Th1 Th 0.000 0.333 0.000



# La4CoPb2 GGA-PBE relaxed
# - energy of formation (eV/atom) = -0.407
# - distance to the lowest polymorph of the same formula (meV/atom) = 40
# - crystal system = orthorhombic
# - volume (Å³ per cell) = 429.93
data_La4CoPb2
_symmetry_space_group_name_H-M 'C m m m'
_symmetry_Int_Tables_number 65
_symmetry_space_group_name_Hall '-C 2 2'
_cell_length_a 5.282
_cell_length_b 16.514
_cell_length_c 4.929
_cell_angle_alpha 90.00
_cell_angle_beta 90.00
_cell_angle_gamma 90.00
loop_
_atom_site_label
_atom_site_type_symbol
_atom_site_fract_x
_atom_site_fract_y
_atom_site_fract_z
La1 La 0.000 0.000 0.000
La2 La 0.000 0.179 0.500
La3 La 0.000 0.500 0.500
Co1 Co 0.000 0.000 0.500
Pb1 Pb 0.000 0.347 0.000



# CeGe3Pd3 GGA-PBE relaxed
# - energy of formation (eV/atom) = -0.476
# - distance to the lowest polymorph of the same formula (meV/atom) = 0
# - crystal system = trigonal
# - volume (Å³ per cell) = 802.23
data_CeGe3Pd3
_symmetry_space_group_name_H-M 'R -3'
_symmetry_Int_Tables_number 148
_symmetry_space_group_name_Hall '-R 3'
_cell_length_a 6.6755
_cell_length_b 6.6755
_cell_length_c 20.7876
_cell_angle_alpha 90.00
_cell_angle_beta 90.00
_cell_angle_gamma 120.00
loop_
_atom_site_label
_atom_site_type_symbol
_atom_site_fract_x
_atom_site_fract_y
_atom_site_fract_z
Ce1 Ce 0.0000 0.0000 0.1670
Ge1 Ge 0.0286 0.7726 0.5801
Pd1 Pd 0.0425 0.7603 0.7079



# LaZnTe4 GGA-PBE relaxed
# - uncorrected formation energy (eV per atom) = -0.133
# - crystal system = cubic
# - volume (Å³ per cell) = 746.86
data_LaZnTe4
_symmetry_space_group_name_H-M 'F -4 3 m'
_symmetry_Int_Tables_number 216
_symmetry_space_group_name_Hall 'F -4 2 3'
_cell_length_a 9.073
_cell_length_b 9.073
_cell_length_c 9.073
_cell_angle_alpha 90.00
_cell_angle_beta 90.00
_cell_angle_gamma 90.00
loop_
_atom_site_label
_atom_site_type_symbol
_atom_site_fract_x
_atom_site_fract_y
_atom_site_fract_z
La1 La 0.000 0.000 0.000
Zn1 Zn 0.250 0.250 0.250
Te1 Te 0.125 0.125 0.625



# NbH2OsW GGA-PBE relaxed
# - final energy (eV per atom) = -7.4416
# - crystal system = tetragonal
# - volume (Å³ per cell) = 66.59
data_NbH2OsW
_symmetry_space_group_name_H-M 'P 4/m m m'
_symmetry_Int_Tables_number 123
_symmetry_space_group_name_Hall '-P 4 2'
_cell_length_a 3.633
_cell_length_b 3.633
_cell_length_c 5.045
_cell_angle_alpha 90.00
_cell_angle_beta 90.00
_cell_angle_gamma 90.00
loop_
_atom_site_label
_atom_site_type_symbol
_atom_site_fract_x
_atom_site_fract_y
_atom_site_fract_z
Nb1 Nb 0.000 0.000 0.000
H1 H 0.000 0.500 0.500
Os1 Os 0.500 0.500 0.000
W1 W 0.500 0.500 0.500



# LaHfC2Cl GGA-PBE relaxed
# - uncorrected formation energy (eV per atom) = 1.821
# - crystal system = tetragonal
# - volume (Å³ per cell) = 95.53
data_LaHfC2Cl
_symmetry_space_group_name_H-M 'P 4/m m m'
_symmetry_Int_Tables_number 123
_symmetry_space_group_name_Hall '-P 4 2'
_cell_length_a 4.623
_cell_length_b 4.623
_cell_length_c 4.469
_cell_angle_alpha 90.00
_cell_angle_beta 90.00
_cell_angle_gamma 90.00
loop_
_atom_site_label
_atom_site_type_symbol
_atom_site_fract_x
_atom_site_fract_y
_atom_site_fract_z
La1 La 0.000 0.000 0.000
Hf1 Hf 0.500 0.500 0.000
C1 C 0.000 0.500 0.500
Cl1 Cl 0.500 0.500 0.500



# ZnIn2Cl GGA-PBE relaxed
# - distance to the lowest polymorph of the same formula (meV/atom) = 222
# - uncorrected formation energy (eV per atom) = -0.039
# - crystal system = cubic
# - volume (Å³ per cell) = 409.33
data_ZnIn2Cl
_symmetry_space_group_name_H-M 'F -4 3 m'
_symmetry_Int_Tables_number 216
_symmetry_space_group_name_Hall 'F -4 2 3'
_cell_length_a 7.425
_cell_length_b 7.425
_cell_length_c 7.425
_cell_angle_alpha 90.00
_cell_angle_beta 90.00
_cell_angle_gamma 90.00
loop_
_atom_site_label
_atom_site_type_symbol
_atom_site_fract_x
_atom_site_fract_y
_atom_site_fract_z
Zn1 Zn 0.000 0.000 0.000
In1 In 0.000 0.000 0.500
In2 In 0.250 0.250 0.250
Cl1 Cl 0.250 0.250 0.750



Question: What is the volume in the sixth record?
Answer: 786.03 Å³ per cell